a | SrEuP after structural relaxation, computed with GGA-PBE.

* magnetic moment: 7.17 μB per formula unit
* calculated density: 3.78 g cm⁻³

Geometry as CIF:
```
data_SrEuP
_chemical_formula_sum 'Sr1 Eu1 P1'
_cell_length_a 4.3427
_cell_length_b 4.3427
_cell_length_c 7.2861
_cell_angle_alpha 90.00
_cell_angle_beta 90.00
_cell_angle_gamma 120.00
_symmetry_space_group_name_H-M 'P 3 m 1'
_symmetry_Int_Tables_number 156
_symmetry_space_group_name_Hall 'P 3 -2"'
loop_
_atom_site_label
_atom_site_type_symbol
_atom_site_fract_x
_atom_site_fract_y
_atom_site_fract_z
_atom_site_occupancy
Sr1 Sr 0.0000 0.0000 0.0000 1
Eu1 Eu 0.3333 0.6667 0.4364 1
P1 P 0.6667 0.3333 0.2320 1
```


b | SrEuP after structural relaxation, computed with GGA-PBE.

* magnetic moment: 7.07 μB per formula unit
* calculated density: 4.51 g cm⁻³

Geometry as CIF:
```
data_SrEuP
_chemical_formula_sum 'Sr2 Eu2 P2'
_cell_length_a 3.766
_cell_length_b 3.766
_cell_length_c 14.057
_cell_angle_alpha 90.00
_cell_angle_beta 90.00
_cell_angle_gamma 90.00
_symmetry_space_group_name_H-M 'I 4 m m'
_symmetry_Int_Tables_number 107
_symmetry_space_group_name_Hall 'I 4 -2'
loop_
_atom_site_label
_atom_site_type_symbol
_atom_site_fract_x
_atom_site_fract_y
_atom_site_fract_z
_atom_site_occupancy
Sr1 Sr 0.000 0.000 0.000 1
Eu1 Eu 0.000 0.000 0.228 1
P1 P 0.000 0.000 0.623 1
```


c | SrEuP after structural relaxation, computed with GGA-PBE.

* magnetic moment: 7.25 μB per formula unit
* calculated density: 4.84 g cm⁻³

Geometry as CIF:
```
data_SrEuP
_chemical_formula_sum 'Sr4 Eu4 P4'
_cell_length_a 7.185
_cell_length_b 7.185
_cell_length_c 7.185
_cell_angle_alpha 90.00
_cell_angle_beta 90.00
_cell_angle_gamma 90.00
_symmetry_space_group_name_H-M 'F -4 3 m'
_symmetry_Int_Tables_number 216
_symmetry_space_group_name_Hall 'F -4 2 3'
loop_
_atom_site_label
_atom_site_type_symbol
_atom_site_fract_x
_atom_site_fract_y
_atom_site_fract_z
_atom_site_occupancy
Sr1 Sr 0.000 0.000 0.000 1
Eu1 Eu 0.000 0.000 0.500 1
P1 P 0.250 0.250 0.750 1
```


List of relative energies, unit kJ/mol of atoms: a 0.0; b 12.5; c 1.0


a | EuUP2 after structural relaxation, computed with GGA-PBE.

* magnetic moment: 8.86 μB per formula unit
* calculated density: 8.94 g cm⁻³

Geometry as CIF:
```
data_EuUP2
_chemical_formula_sum 'Eu1 U1 P2'
_cell_length_a 3.452
_cell_length_b 3.452
_cell_length_c 7.043
_cell_angle_alpha 90.00
_cell_angle_beta 90.00
_cell_angle_gamma 90.00
_symmetry_space_group_name_H-M 'P 4/m m m'
_symmetry_Int_Tables_number 123
_symmetry_space_group_name_Hall '-P 4 2'
loop_
_atom_site_label
_atom_site_type_symbol
_atom_site_fract_x
_atom_site_fract_y
_atom_site_fract_z
_atom_site_occupancy
Eu1 Eu 0.000 0.000 0.000 1
U1 U 0.000 0.000 0.500 1
P1 P 0.500 0.500 0.274 1
```


b | EuUP2 after structural relaxation, computed with GGA-PBE.

* magnetic moment: 8.92 μB per formula unit
* calculated density: 7.87 g cm⁻³

Geometry as CIF:
```
data_EuUP2
_chemical_formula_sum 'Eu3 U3 P6'
_cell_length_a 4.0328
_cell_length_b 4.0328
_cell_length_c 20.3033
_cell_angle_alpha 90.00
_cell_angle_beta 90.00
_cell_angle_gamma 120.00
_symmetry_space_group_name_H-M 'R -3 m'
_symmetry_Int_Tables_number 166
_symmetry_space_group_name_Hall '-R 3 2"'
loop_
_atom_site_label
_atom_site_type_symbol
_atom_site_fract_x
_atom_site_fract_y
_atom_site_fract_z
_atom_site_occupancy
Eu1 Eu 0.0000 0.0000 0.0000 1
U1 U 0.0000 0.0000 0.5000 1
P1 P 0.0000 0.0000 0.2419 1
```


List of relative energies, unit kJ/mol of atoms: a 24.6; b 0.0


a | EuP2W after structural relaxation, computed with GGA-PBE.

* magnetic moment: 7.13 μB per formula unit
* calculated density: 9.54 g cm⁻³

Geometry as CIF:
```
data_EuP2W
_chemical_formula_sum 'Eu1 P2 W1'
_cell_length_a 3.139
_cell_length_b 3.139
_cell_length_c 7.030
_cell_angle_alpha 90.00
_cell_angle_beta 90.00
_cell_angle_gamma 90.00
_symmetry_space_group_name_H-M 'P 4/m m m'
_symmetry_Int_Tables_number 123
_symmetry_space_group_name_Hall '-P 4 2'
loop_
_atom_site_label
_atom_site_type_symbol
_atom_site_fract_x
_atom_site_fract_y
_atom_site_fract_z
_atom_site_occupancy
Eu1 Eu 0.000 0.000 0.000 1
P1 P 0.500 0.500 0.303 1
W1 W 0.000 0.000 0.500 1
```


b | EuP2W after structural relaxation, computed with GGA-PBE.

* magnetic moment: 6.89 μB per formula unit
* calculated density: 8.66 g cm⁻³

Geometry as CIF:
```
data_EuP2W
_chemical_formula_sum 'Eu3 P6 W3'
_cell_length_a 3.6940
_cell_length_b 3.6940
_cell_length_c 19.3650
_cell_angle_alpha 90.00
_cell_angle_beta 90.00
_cell_angle_gamma 120.00
_symmetry_space_group_name_H-M 'R -3 m'
_symmetry_Int_Tables_number 166
_symmetry_space_group_name_Hall '-R 3 2"'
loop_
_atom_site_label
_atom_site_type_symbol
_atom_site_fract_x
_atom_site_fract_y
_atom_site_fract_z
_atom_site_occupancy
Eu1 Eu 0.0000 0.0000 0.0000 1
P1 P 0.0000 0.0000 0.2355 1
W1 W 0.0000 0.0000 0.5000 1
```


List of relative energies, unit kJ/mol of atoms: a 11.3; b 0.0